Below is a geometry-optimized BaScCu2F8 structure, with properties calculated at the PBE-GGA level.

Calculated values
uncorrected energy: -5.3422 eV per atom
space-group type: No. 147

```
BaScCu2F8
1.0
5.3011 0.0000 0.0000
-2.6506 4.5909 0.0000
0.0000 0.0000 7.6717
F Ba Sc Cu
8 1 1 2
Cartesian
0.0000 3.0606 7.4930
4.4388 1.3003 5.1323
-1.7883 3.2906 2.5394
0.6950 1.3969 2.5394
1.0933 4.4943 2.5394
2.6506 1.5303 0.1787
1.5573 0.0966 5.1323
1.9556 3.1940 5.1323
0.0000 0.0000 0.0000
0.0000 0.0000 3.8358
0.0000 3.0606 5.5697
2.6506 1.5303 2.1020
```